# 1
SCAN PbS2N, PBEsol geometry; SG = No. 166; formation energy without anion corrections = 1.221 eV/atom
1.0
1.607 0.928 8.129
-1.607 0.928 8.129
0.000 -1.856 8.129
Pb S N
1 2 1
Direct
0.000 0.000 0.000
0.116 0.116 0.116
0.884 0.884 0.884
0.500 0.500 0.500

# 2
SCAN MgV4O9, PBEsol geometry; SG = No. 85; formation energy without anion corrections = -2.652 eV/atom
1.0
8.123 0.000 0.000
0.000 8.123 0.000
0.000 0.000 4.834
Mg V O
2 8 18
Direct
0.250 0.250 0.173
0.750 0.750 0.827
0.034 0.841 0.362
0.159 0.534 0.638
0.341 0.966 0.638
0.466 0.659 0.362
0.534 0.341 0.638
0.659 0.034 0.362
0.841 0.466 0.362
0.966 0.159 0.638
0.015 0.184 0.961
0.047 0.356 0.456
0.144 0.047 0.456
0.184 0.485 0.961
0.250 0.750 0.500
0.316 0.015 0.961
0.356 0.453 0.456
0.453 0.144 0.456
0.485 0.316 0.961
0.515 0.684 0.039
0.547 0.856 0.544
0.644 0.547 0.544
0.684 0.985 0.039
0.750 0.250 0.500
0.816 0.515 0.039
0.856 0.953 0.544
0.953 0.644 0.544
0.985 0.816 0.039

# 3
SCAN KZnN2, PBEsol geometry; SG = No. 141; formation energy without anion corrections = 0.777 eV/atom
1.0
-2.201 2.201 6.352
2.201 -2.201 6.352
2.201 2.201 -6.352
K Zn N
2 2 4
Direct
0.375 0.625 0.750
0.625 0.375 0.250
0.125 0.875 0.250
0.875 0.125 0.750
0.000 0.000 0.000
0.000 0.000 0.500
0.000 0.500 0.000
0.500 0.000 0.500

Please write out number 1 again, unchanged.
SCAN PbS2N, PBEsol geometry; SG = No. 166; formation energy without anion corrections = 1.221 eV/atom
1.0
1.607 0.928 8.129
-1.607 0.928 8.129
0.000 -1.856 8.129
Pb S N
1 2 1
Direct
0.000 0.000 0.000
0.116 0.116 0.116
0.884 0.884 0.884
0.500 0.500 0.500